# NaFeN2F (PBE+U, optimized geometry)
# Magnetic moment ... 0.00 Bohr magnetons per cell
# Energy relative to the lowest polymorph listed for this composition ... 114.6 kJ per mole of atoms
# Uncorrected energy ... -3.86 eV per atom
data_NaFeN2F
_chemical_formula_sum 'Na1 Fe1 N2 F1'
_symmetry_space_group_name_H-M 'P 4/m m m'
_symmetry_Int_Tables_number 123
_symmetry_space_group_name_Hall '-P 4 2'
_cell_length_a 4.353
_cell_length_b 4.353
_cell_length_c 3.914
_cell_angle_alpha 90.00
_cell_angle_beta 90.00
_cell_angle_gamma 90.00
loop_
_atom_site_label
_atom_site_fract_x
_atom_site_fract_y
_atom_site_fract_z
_atom_site_occupancy
Na1 0.000 0.000 0.000 1
Fe1 0.500 0.500 0.500 1
N1 0.000 0.500 0.000 1
F1 0.000 0.000 0.500 1